4
Lattice="3.120 0.000 0.000 0.000 3.120 0.000 0.000 0.000 6.353" Properties=species:S:1:pos:R:3 comment="TiNbVRh PBE-GGA optimized geometry" relative_energy_ev_per_atom=0.0000 rho_g_cm3=7.91 dos_at_fermi_per_ev_cell=2.53 space_group=P4mm m_tot_mub_per_atom=0.000 formation_energy_mev_per_atom=-356.2 pbc="T T T"
Ti 0.000 0.000 2.306
Nb 0.000 0.000 5.382
V 1.560 1.560 3.831
Rh 1.560 1.560 0.729

4
Lattice="-2.137 2.199 -3.281 -2.837 -0.281 -3.470 -3.858 0.914 2.279" Properties=species:S:1:pos:R:3 comment="Mn2CuRe PBE-GGA optimized geometry" relative_energy_ev_per_atom=0.1021 rho_g_cm3=11.87 dos_at_fermi_per_ev_cell=4.52 space_group=C2/m m_tot_mub_per_atom=0.848 formation_energy_mev_per_atom=234.1 pbc="T T T"
Cu -2.208 0.708 -1.118
Mn -4.988 1.918 -6.716
Mn -4.402 1.415 -2.271
Re -6.624 2.124 -3.354

4
Lattice="-4.204 5.475 2.367 -6.061 4.035 0.490 -4.389 -1.204 5.265" Properties=species:S:1:pos:R:3 comment="AlSeCl2 PBE-GGA optimized geometry" relative_energy_ev_per_atom=0.0513 rho_g_cm3=2.25 dos_at_fermi_per_ev_cell=1.43 space_group=Cm m_tot_mub_per_atom=0.000 formation_energy_uncorrected_ev_per_atom=-0.857 pbc="T T T"
Al -10.366 6.307 5.415
Se -6.761 3.026 4.366
Cl -5.154 0.103 5.018
Cl -4.089 1.819 2.649

10
Lattice="-0.392 -0.941 3.323 3.401 -0.690 0.206 3.109 16.867 5.141" Properties=species:S:1:pos:R:3 comment="Tb4TmPd5 PBE-GGA optimized geometry" rho_g_cm3=10.26 dos_at_fermi_per_ev_cell=7.69 space_group=P4/mmm m_tot_mub_per_atom=0.000 formation_energy_mev_per_atom=-875.5 pbc="T T T"
Tb 0.614 3.332 1.016
Tb 1.241 6.733 2.052
Tb 1.868 10.134 3.089
Tb 2.495 13.535 4.126
Tm 0.000 0.000 0.000
Pd 1.801 0.794 2.255
Pd 2.432 4.220 3.300
Pd 3.059 7.618 4.335
Pd 3.685 11.017 5.371
Pd 4.317 14.443 6.416

8
Lattice="-3.711 6.434 -0.245 -2.411 -1.651 -6.833 -7.458 -0.063 -1.394" Properties=species:S:1:pos:R:3 comment="TlTe2W PBE-GGA optimized geometry" relative_energy_ev_per_atom=0.3669 rho_g_cm3=7.07 dos_at_fermi_per_ev_cell=8.59 space_group=I-42d m_tot_mub_per_atom=0.000 formation_energy_uncorrected_ev_per_atom=0.473 pbc="T T T"
Tl 0.000 0.000 0.000
Tl -7.115 4.381 -2.589
Te -4.165 3.245 -1.334
Te -4.155 0.312 -4.671
Te -8.097 1.604 -4.289
Te -10.743 4.281 -6.649
W -3.061 2.392 -3.539
W -6.465 0.339 -5.883

6
Lattice="-1.450 -6.084 -2.738 6.441 1.759 1.426 -1.773 1.229 6.477" Properties=species:S:1:pos:R:3 comment="KNaTl PBE-GGA optimized geometry" relative_energy_ev_per_atom=0.0000 rho_g_cm3=3.93 dos_at_fermi_per_ev_cell=3.25 space_group=Imma m_tot_mub_per_atom=0.000 formation_energy_mev_per_atom=-86.0 pbc="T T T"
K -0.259 -0.863 1.861
K 3.476 -2.232 3.304
Na 2.334 1.494 3.952
Na 2.495 -2.162 -0.656
Tl -0.725 -3.042 -1.369
Tl 3.220 0.880 0.713